! Rb2TeBr2F4, optimized geometry, DFT PBE; values from VASP
&SYSTEM
  ibrav = 0, nat = 9, ntyp = 4
/
ATOMIC_SPECIES
Rb 85.47 Rb.upf
Te 127.60 Te.upf
Br 79.90 Br.upf
F 19.00 F.upf
CELL_PARAMETERS angstrom
-3.581 3.581 4.680
3.581 -3.581 4.680
3.581 3.581 -4.680
ATOMIC_POSITIONS angstrom
Rb 3.581 0.000 2.340
Rb 0.000 3.581 2.340
Te 0.000 0.000 0.000
Br 0.000 0.000 2.759
Br 0.000 0.000 6.601
F 1.472 1.472 0.000
F 2.109 -2.109 4.680
F -2.109 2.109 4.680
F 2.109 2.109 4.680
! M_tot: 0.00 μB/cell
! SG: I4/mmm (139)
! mass density: 3.70 g/cm3


! Rb2TeBr4F2, optimized geometry, DFT PBE; values from VASP
&SYSTEM
  ibrav = 0, nat = 9, ntyp = 4
/
ATOMIC_SPECIES
Rb 85.47 Rb.upf
Te 127.60 Te.upf
Br 79.90 Br.upf
F 19.00 F.upf
CELL_PARAMETERS angstrom
6.117 -3.960 0.000
6.117 3.960 0.000
-2.419 0.000 6.209
ATOMIC_POSITIONS angstrom
Rb 1.676 0.000 1.830
Rb 8.138 0.000 4.379
Te 6.117 0.000 0.000
Br 4.649 1.989 1.194
Br 5.165 1.989 5.016
Br 4.649 -1.989 1.194
Br 5.165 -1.989 5.016
F 2.422 0.000 4.558
F 7.392 0.000 1.651
! M_tot: 0.00 μB/cell
! SG: C2/m (12)
! mass density: 3.62 g/cm3


! Rb2TiBr4F2, optimized geometry, DFT PBE; values from VASP
&SYSTEM
  ibrav = 0, nat = 9, ntyp = 4
/
ATOMIC_SPECIES
Rb 85.47 Rb.upf
Ti 47.87 Ti.upf
Br 79.90 Br.upf
F 19.00 F.upf
CELL_PARAMETERS angstrom
5.969 -3.807 0.000
5.969 3.807 0.000
-1.412 0.000 5.859
ATOMIC_POSITIONS angstrom
Rb 1.617 0.000 1.920
Rb 8.909 0.000 3.940
Ti 5.969 0.000 0.000
Br 4.579 1.832 1.123
Br 5.947 1.832 4.736
Br 4.579 -1.832 1.123
Br 5.947 -1.832 4.736
F 3.378 0.000 4.424
F 7.148 0.000 1.436
! M_tot: 0.00 μB/cell
! SG: C2/m (12)
! mass density: 3.59 g/cm3


! Rb2TiBrF6, optimized geometry, DFT PBE; values from VASP
&SYSTEM
  ibrav = 0, nat = 10, ntyp = 4
/
ATOMIC_SPECIES
Rb 85.47 Rb.upf
Ti 47.87 Ti.upf
Br 79.90 Br.upf
F 19.00 F.upf
CELL_PARAMETERS angstrom
-3.513 3.513 4.482
3.513 -3.513 4.482
3.513 3.513 -4.482
ATOMIC_POSITIONS angstrom
Rb 3.513 0.000 2.241
Rb 0.000 3.513 2.241
Ti 0.000 0.000 0.000
Br 0.000 0.000 4.482
F 1.332 1.332 0.000
F 2.181 -2.181 4.482
F 0.000 0.000 1.900
F 0.000 0.000 7.064
F -2.181 2.181 4.482
F 2.181 2.181 4.482
! M_tot: 1.00 μB/cell
! SG: I4/mmm (139)
! mass density: 3.10 g/cm3


! Rb2TiBr2F4, optimized geometry, DFT PBE; values from VASP
&SYSTEM
  ibrav = 0, nat = 9, ntyp = 4
/
ATOMIC_SPECIES
Rb 85.47 Rb.upf
Ti 47.87 Ti.upf
Br 79.90 Br.upf
F 19.00 F.upf
CELL_PARAMETERS angstrom
-3.499 3.499 4.509
3.499 -3.499 4.509
3.499 3.499 -4.509
ATOMIC_POSITIONS angstrom
Rb 3.499 0.000 2.255
Rb 0.000 3.499 2.255
Ti 0.000 0.000 0.000
Br 0.000 0.000 2.579
Br 0.000 0.000 6.440
F 1.325 1.325 0.000
F 2.174 -2.174 4.509
F -2.174 2.174 4.509
F 2.174 2.174 4.509
! M_tot: 0.00 μB/cell
! SG: I4/mmm (139)
! mass density: 3.42 g/cm3


! Rb2TlBr2F2, optimized geometry, DFT PBE; values from VASP
&SYSTEM
  ibrav = 0, nat = 7, ntyp = 4
/
ATOMIC_SPECIES
Rb 85.47 Rb.upf
Tl 204.38 Tl.upf
Br 79.90 Br.upf
F 19.00 F.upf
CELL_PARAMETERS angstrom
-2.442 2.442 8.711
2.442 -2.442 8.711
2.442 2.442 -8.711
ATOMIC_POSITIONS angstrom
Rb 0.000 0.000 2.132
Rb 0.000 0.000 15.291
Tl 0.000 0.000 8.711
Br 0.000 0.000 5.771
Br 0.000 0.000 11.651
F 2.442 0.000 0.000
F 0.000 2.442 0.000
! M_tot: 0.00 μB/cell
! SG: I4/mmm (139)
! mass density: 4.58 g/cm3


The following energy relative to the elements, uncorrected values (in eV/atom) correspond, in order, to the records above: -1.9584; -1.4867; -2.0381; -2.7413; -2.6437; -1.7968.